No. 1
# BaInIr2 GGA-PBE optimized geometry
# E_form   185 meV/atom
# Total magnetization   0.00 μB per formula unit
# Electronic total energy   -5.41 eV per atom
# DOS at the Fermi energy   4.487 states/eV per cell
data_BaInIr2
_cell_length_a 3.536
_cell_length_b 3.536
_cell_length_c 7.827
_cell_angle_alpha 90.00
_cell_angle_beta 90.00
_cell_angle_gamma 90.00
_symmetry_space_group_name_H-M 'P 4 m m'
_symmetry_Int_Tables_number 99
loop_
_symmetry_equiv_pos_as_xyz
'x,y,z'
'-y,x,z'
'-x,-y,z'
'y,-x,z'
'-x,y,z'
'y,x,z'
'x,-y,z'
'-y,-x,z'
loop_
_atom_site_label
_atom_site_type_symbol
_atom_site_fract_x
_atom_site_fract_y
_atom_site_fract_z
_atom_site_occupancy
Ba1 Ba 0.000 0.000 0.000 1
In1 In 0.500 0.500 0.348 1
Ir1 Ir 0.000 0.000 0.596 1
Ir2 Ir 0.500 0.500 0.690 1

=====

No. 2
# BaIn3Ir2 GGA-PBE optimized geometry
# E_form   21 meV/atom
# Total magnetization   0.00 μB per formula unit
# Electronic total energy   -4.62 eV per atom
# DOS at the Fermi energy   14.671 states/eV per cell
data_BaIn3Ir2
_cell_length_a 6.0161
_cell_length_b 6.0161
_cell_length_c 28.4124
_cell_angle_alpha 90.00
_cell_angle_beta 90.00
_cell_angle_gamma 120.00
_symmetry_space_group_name_H-M 'R -3 m'
_symmetry_Int_Tables_number 166
_symmetry_space_group_name_Hall '-R 3 2"'
loop_
_atom_site_label
_atom_site_type_symbol
_atom_site_fract_x
_atom_site_fract_y
_atom_site_fract_z
_atom_site_occupancy
Ba1 Ba 0.0000 0.0000 0.1954 1
In1 In 0.0027 0.5014 0.2568 1
Ir1 Ir 0.0000 0.0000 0.0000 1
Ir2 Ir 0.0000 0.5000 0.0000 1

=====

No. 3
# BaInIr2 GGA-PBE optimized geometry
# E_form   236 meV/atom
# Total magnetization   0.16 μB per formula unit
# Electronic total energy   -5.36 eV per atom
# DOS at the Fermi energy   4.118 states/eV per cell
data_BaInIr2
_cell_length_a 3.127
_cell_length_b 3.980
_cell_length_c 7.147
_cell_angle_alpha 90.00
_cell_angle_beta 90.60
_cell_angle_gamma 90.00
_symmetry_space_group_name_H-M 'P 1 2/m 1'
_symmetry_Int_Tables_number 10
loop_
_symmetry_equiv_pos_as_xyz
'x,y,z'
'-x,-y,-z'
'-x,y,-z'
'x,-y,z'
loop_
_atom_site_label
_atom_site_type_symbol
_atom_site_fract_x
_atom_site_fract_y
_atom_site_fract_z
_atom_site_occupancy
Ba1 Ba 0.000 0.000 0.000 1
In1 In 0.000 0.000 0.500 1
Ir1 Ir 0.494 0.500 0.315 1

=====

No. 4
# BaInIr2 GGA-PBE optimized geometry
# E_form   678 meV/atom
# Total magnetization   0.56 μB per formula unit
# Electronic total energy   -4.92 eV per atom
# DOS at the Fermi energy   28.581 states/eV per cell
data_BaInIr2
_cell_length_a 7.069
_cell_length_b 7.069
_cell_length_c 7.069
_cell_angle_alpha 90.00
_cell_angle_beta 90.00
_cell_angle_gamma 90.00
_symmetry_space_group_name_H-M 'F -4 3 m'
_symmetry_Int_Tables_number 216
_symmetry_space_group_name_Hall 'F -4 2 3'
loop_
_atom_site_label
_atom_site_type_symbol
_atom_site_fract_x
_atom_site_fract_y
_atom_site_fract_z
_atom_site_occupancy
Ba1 Ba 0.000 0.000 0.000 1
In1 In 0.250 0.250 0.750 1
Ir1 Ir 0.000 0.000 0.500 1
Ir2 Ir 0.250 0.250 0.250 1

=====

No. 5
# BaInIr2 GGA-PBE optimized geometry
# E_form   -130 meV/atom
# Total magnetization   0.00 μB per formula unit
# Electronic total energy   -5.73 eV per atom
# DOS at the Fermi energy   7.976 states/eV per cell
data_BaInIr2
_cell_length_a 4.6775
_cell_length_b 4.6775
_cell_length_c 17.2234
_cell_angle_alpha 90.00
_cell_angle_beta 90.00
_cell_angle_gamma 120.00
_symmetry_space_group_name_H-M 'R -3 m'
_symmetry_Int_Tables_number 166
_symmetry_space_group_name_Hall '-R 3 2"'
loop_
_atom_site_label
_atom_site_type_symbol
_atom_site_fract_x
_atom_site_fract_y
_atom_site_fract_z
_atom_site_occupancy
Ba1 Ba 0.0000 0.0000 0.0000 1
In1 In 0.0000 0.0000 0.5000 1
Ir1 Ir 0.0000 0.0000 0.1772 1

=====

No. 6
# BaIn3Ir GGA-PBE optimized geometry
# E_form   1887 meV/atom
# Total magnetization   0.00 μB per formula unit
# Electronic total energy   -1.91 eV per atom
# DOS at the Fermi energy   11.271 states/eV per cell
data_BaIn3Ir
_cell_length_a 6.131
_cell_length_b 6.131
_cell_length_c 6.131
_cell_angle_alpha 90.00
_cell_angle_beta 90.00
_cell_angle_gamma 90.00
_symmetry_space_group_name_H-M 'P m -3 m'
_symmetry_Int_Tables_number 221
_symmetry_space_group_name_Hall '-P 4 2 3'
loop_
_atom_site_label
_atom_site_type_symbol
_atom_site_fract_x
_atom_site_fract_y
_atom_site_fract_z
_atom_site_occupancy
Ba1 Ba 0.000 0.000 0.000 1
In1 In 0.000 0.000 0.500 1
Ir1 Ir 0.500 0.500 0.500 1

=====

No. 7
# BaIn2Ir GGA-PBE optimized geometry
# E_form   345 meV/atom
# Total magnetization   0.00 μB per formula unit
# Electronic total energy   -3.72 eV per atom
# DOS at the Fermi energy   5.839 states/eV per cell
data_BaIn2Ir
_cell_length_a 6.219
_cell_length_b 11.822
_cell_length_c 3.490
_cell_angle_alpha 90.00
_cell_angle_beta 122.20
_cell_angle_gamma 90.00
_symmetry_space_group_name_H-M 'C 1 2/m 1'
_symmetry_Int_Tables_number 12
loop_
_symmetry_equiv_pos_as_xyz
'x,y,z'
'-x,-y,-z'
'-x,y,-z'
'x,-y,z'
'x+1/2,y+1/2,z'
'-x+1/2,-y+1/2,-z'
'-x+1/2,y+1/2,-z'
'x+1/2,-y+1/2,z'
loop_
_atom_site_label
_atom_site_type_symbol
_atom_site_fract_x
_atom_site_fract_y
_atom_site_fract_z
_atom_site_occupancy
Ba1 Ba 0.000 0.000 0.000 1
In1 In 0.250 0.250 0.500 1
Ir1 Ir 0.000 0.500 0.000 1

=====

No. 8
# KBa2In12Ir3 GGA-PBE optimized geometry
# E_form   -16 meV/atom
# Total magnetization   0.00 μB per formula unit
# Electronic total energy   -3.59 eV per atom
# DOS at the Fermi energy   49.653 states/eV per cell
data_KBa2In12Ir3
_cell_length_a 9.9057
_cell_length_b 9.9057
_cell_length_c 21.6340
_cell_angle_alpha 90.00
_cell_angle_beta 90.00
_cell_angle_gamma 120.00
_symmetry_space_group_name_H-M 'R -3 m'
_symmetry_Int_Tables_number 166
_symmetry_space_group_name_Hall '-R 3 2"'
loop_
_atom_site_label
_atom_site_type_symbol
_atom_site_fract_x
_atom_site_fract_y
_atom_site_fract_z
_atom_site_occupancy
K1 K 0.0000 0.0000 0.0000 1
Ba1 Ba 0.0000 0.0000 0.4134 1
In1 In 0.0913 0.5456 0.8149 1
In2 In 0.0970 0.5485 0.3829 1
Ir1 Ir 0.0000 0.5000 0.5000 1

=====

No. 9
# K2BaInIr GGA-PBE optimized geometry
# E_form   437 meV/atom
# Total magnetization   0.00 μB per formula unit
# Electronic total energy   -2.71 eV per atom
# DOS at the Fermi energy   4.648 states/eV per cell
data_K2BaInIr
_cell_length_a 6.247
_cell_length_b 6.247
_cell_length_c 5.671
_cell_angle_alpha 90.00
_cell_angle_beta 90.00
_cell_angle_gamma 90.00
_symmetry_space_group_name_H-M 'P 4/m m m'
_symmetry_Int_Tables_number 123
_symmetry_space_group_name_Hall '-P 4 2'
loop_
_atom_site_label
_atom_site_type_symbol
_atom_site_fract_x
_atom_site_fract_y
_atom_site_fract_z
_atom_site_occupancy
K1 K 0.000 0.500 0.000 1
Ba1 Ba 0.000 0.000 0.500 1
In1 In 0.500 0.500 0.500 1
Ir1 Ir 0.000 0.000 0.000 1

=====

No. 10
# KBaIn2Ir GGA-PBE optimized geometry
# E_form   -160 meV/atom
# Total magnetization   0.00 μB per formula unit
# Electronic total energy   -3.63 eV per atom
# DOS at the Fermi energy   3.464 states/eV per cell
data_KBaIn2Ir
_cell_length_a 5.336
_cell_length_b 5.336
_cell_length_c 5.950
_cell_angle_alpha 90.00
_cell_angle_beta 90.00
_cell_angle_gamma 90.00
_symmetry_space_group_name_H-M 'P 4/m m m'
_symmetry_Int_Tables_number 123
_symmetry_space_group_name_Hall '-P 4 2'
loop_
_atom_site_label
_atom_site_type_symbol
_atom_site_fract_x
_atom_site_fract_y
_atom_site_fract_z
_atom_site_occupancy
K1 K 0.000 0.000 0.000 1
Ba1 Ba 0.500 0.500 0.000 1
In1 In 0.000 0.500 0.500 1
Ir1 Ir 0.500 0.500 0.500 1

=====

No. 11
# BaLa2InIr GGA-PBE optimized geometry
# E_form   -362 meV/atom
# Total magnetization   0.00 μB per formula unit
# Electronic total energy   -5.04 eV per atom
# DOS at the Fermi energy   4.319 states/eV per cell
# Polymorph energy (0 for the lowest one)   0 meV/atom
data_BaLa2InIr
_cell_length_a 5.646
_cell_length_b 5.646
_cell_length_c 5.439
_cell_angle_alpha 90.00
_cell_angle_beta 90.00
_cell_angle_gamma 90.00
_symmetry_space_group_name_H-M 'P 4/m m m'
_symmetry_Int_Tables_number 123
_symmetry_space_group_name_Hall '-P 4 2'
loop_
_atom_site_label
_atom_site_type_symbol
_atom_site_fract_x
_atom_site_fract_y
_atom_site_fract_z
_atom_site_occupancy
Ba1 Ba 0.000 0.000 0.000 1
La1 La 0.000 0.500 0.500 1
In1 In 0.500 0.500 0.000 1
Ir1 Ir 0.500 0.500 0.500 1

=====

No. 12
# BaLa2InIr GGA-PBE optimized geometry
# E_form   -319 meV/atom
# Total magnetization   0.00 μB per formula unit
# Electronic total energy   -4.99 eV per atom
# DOS at the Fermi energy   5.714 states/eV per cell
# Polymorph energy (0 for the lowest one)   43 meV/atom
data_BaLa2InIr
_cell_length_a 5.572
_cell_length_b 5.572
_cell_length_c 6.112
_cell_angle_alpha 90.00
_cell_angle_beta 90.00
_cell_angle_gamma 90.00
_symmetry_space_group_name_H-M 'P 4/m m m'
_symmetry_Int_Tables_number 123
_symmetry_space_group_name_Hall '-P 4 2'
loop_
_atom_site_label
_atom_site_type_symbol
_atom_site_fract_x
_atom_site_fract_y
_atom_site_fract_z
_atom_site_occupancy
Ba1 Ba 0.000 0.000 0.000 1
La1 La 0.000 0.500 0.500 1
In1 In 0.500 0.500 0.000 1
Ir1 Ir 0.000 0.000 0.500 1

=====

No. 13
# Ba2MgIn12Ir3 GGA-PBE optimized geometry
# E_form   -15 meV/atom
# Total magnetization   0.00 μB per formula unit
# Electronic total energy   -3.62 eV per atom
# DOS at the Fermi energy   32.312 states/eV per cell
data_Ba2MgIn12Ir3
_cell_length_a 10.1359
_cell_length_b 10.1359
_cell_length_c 20.3277
_cell_angle_alpha 90.00
_cell_angle_beta 90.00
_cell_angle_gamma 120.00
_symmetry_space_group_name_H-M 'R -3 m'
_symmetry_Int_Tables_number 166
_symmetry_space_group_name_Hall '-R 3 2"'
loop_
_atom_site_label
_atom_site_type_symbol
_atom_site_fract_x
_atom_site_fract_y
_atom_site_fract_z
_atom_site_occupancy
Ba1 Ba 0.0000 0.0000 0.1052 1
Mg1 Mg 0.0000 0.0000 0.5000 1
In1 In 0.0023 0.5012 0.1304 1
In2 In 0.1034 0.5517 0.3269 1
Ir1 Ir 0.0000 0.5000 0.0000 1

=====

No. 14
# BaMnIn2Ir GGA-PBE optimized geometry
# E_form   197 meV/atom
# Total magnetization   0.00 μB per formula unit
# Electronic total energy   -4.89 eV per atom
# DOS at the Fermi energy   4.272 states/eV per cell
# Polymorph energy (0 for the lowest one)   0 meV/atom
data_BaMnIn2Ir
_cell_length_a 5.031
_cell_length_b 5.031
_cell_length_c 4.739
_cell_angle_alpha 90.00
_cell_angle_beta 90.00
_cell_angle_gamma 90.00
_symmetry_space_group_name_H-M 'P 4/m m m'
_symmetry_Int_Tables_number 123
_symmetry_space_group_name_Hall '-P 4 2'
loop_
_atom_site_label
_atom_site_type_symbol
_atom_site_fract_x
_atom_site_fract_y
_atom_site_fract_z
_atom_site_occupancy
Ba1 Ba 0.000 0.000 0.000 1
Mn1 Mn 0.500 0.500 0.500 1
In1 In 0.000 0.500 0.500 1
Ir1 Ir 0.500 0.500 0.000 1

=====

No. 15
# BaMnIn2Ir GGA-PBE optimized geometry
# E_form   1647 meV/atom
# Total magnetization   4.45 μB per formula unit
# Electronic total energy   -3.44 eV per atom
# DOS at the Fermi energy   3.792 states/eV per cell
# Polymorph energy (0 for the lowest one)   1450 meV/atom
data_BaMnIn2Ir
_cell_length_a 6.281
_cell_length_b 6.281
_cell_length_c 5.142
_cell_angle_alpha 90.00
_cell_angle_beta 90.00
_cell_angle_gamma 90.00
_symmetry_space_group_name_H-M 'P 4/m m m'
_symmetry_Int_Tables_number 123
_symmetry_space_group_name_Hall '-P 4 2'
loop_
_atom_site_label
_atom_site_type_symbol
_atom_site_fract_x
_atom_site_fract_y
_atom_site_fract_z
_atom_site_occupancy
Ba1 Ba 0.000 0.000 0.000 1
Mn1 Mn 0.500 0.500 0.500 1
In1 In 0.000 0.500 0.000 1
Ir1 Ir 0.000 0.000 0.500 1

=====

No. 16
# Ba6Na2InIr GGA-PBE optimized geometry
# E_form   -91 meV/atom
# Total magnetization   0.00 μB per formula unit
# Electronic total energy   -2.67 eV per atom
# DOS at the Fermi energy   17.215 states/eV per cell
data_Ba6Na2InIr
_cell_length_a 13.040
_cell_length_b 13.042
_cell_length_c 9.202
_cell_angle_alpha 90.00
_cell_angle_beta 134.88
_cell_angle_gamma 90.00
_symmetry_space_group_name_H-M 'C 1 2/m 1'
_symmetry_Int_Tables_number 12
loop_
_symmetry_equiv_pos_as_xyz
'x,y,z'
'-x,-y,-z'
'-x,y,-z'
'x,-y,z'
'x+1/2,y+1/2,z'
'-x+1/2,-y+1/2,-z'
'-x+1/2,y+1/2,-z'
'x+1/2,-y+1/2,z'
loop_
_atom_site_label
_atom_site_type_symbol
_atom_site_fract_x
_atom_site_fract_y
_atom_site_fract_z
_atom_site_occupancy
Ba1 Ba 0.000 0.236 0.000 1
Ba2 Ba 0.235 0.000 0.471 1
Ba3 Ba 0.236 0.000 0.000 1
Na1 Na 0.000 0.250 0.500 1
In1 In 0.000 0.500 0.000 1
Ir1 Ir 0.000 0.000 0.000 1

=====

No. 17
# BaNaIn2Ir GGA-PBE optimized geometry
# E_form   -157 meV/atom
# Total magnetization   0.00 μB per formula unit
# Electronic total energy   -3.67 eV per atom
# DOS at the Fermi energy   2.719 states/eV per cell
# Polymorph energy (0 for the lowest one)   22 meV/atom
data_BaNaIn2Ir
_cell_length_a 5.282
_cell_length_b 5.282
_cell_length_c 5.967
_cell_angle_alpha 90.00
_cell_angle_beta 90.00
_cell_angle_gamma 90.00
_symmetry_space_group_name_H-M 'P 4/m m m'
_symmetry_Int_Tables_number 123
_symmetry_space_group_name_Hall '-P 4 2'
loop_
_atom_site_label
_atom_site_type_symbol
_atom_site_fract_x
_atom_site_fract_y
_atom_site_fract_z
_atom_site_occupancy
Ba1 Ba 0.000 0.000 0.000 1
Na1 Na 0.500 0.500 0.000 1
In1 In 0.000 0.500 0.500 1
Ir1 Ir 0.000 0.000 0.500 1

=====

No. 18
# BaNaIn2Ir GGA-PBE optimized geometry
# E_form   -179 meV/atom
# Total magnetization   0.00 μB per formula unit
# Electronic total energy   -3.69 eV per atom
# DOS at the Fermi energy   3.343 states/eV per cell
# Polymorph energy (0 for the lowest one)   0 meV/atom
data_BaNaIn2Ir
_cell_length_a 5.204
_cell_length_b 5.204
_cell_length_c 5.542
_cell_angle_alpha 90.00
_cell_angle_beta 90.00
_cell_angle_gamma 90.00
_symmetry_space_group_name_H-M 'P 4/m m m'
_symmetry_Int_Tables_number 123
_symmetry_space_group_name_Hall '-P 4 2'
loop_
_atom_site_label
_atom_site_type_symbol
_atom_site_fract_x
_atom_site_fract_y
_atom_site_fract_z
_atom_site_occupancy
Ba1 Ba 0.000 0.000 0.000 1
Na1 Na 0.500 0.500 0.000 1
In1 In 0.000 0.500 0.500 1
Ir1 Ir 0.500 0.500 0.500 1

=====

No. 19
# Ba2NaIn12Ir3 GGA-PBE optimized geometry
# E_form   -10 meV/atom
# Total magnetization   0.00 μB per formula unit
# Electronic total energy   -3.60 eV per atom
# DOS at the Fermi energy   35.274 states/eV per cell
data_Ba2NaIn12Ir3
_cell_length_a 10.1237
_cell_length_b 10.1237
_cell_length_c 20.3809
_cell_angle_alpha 90.00
_cell_angle_beta 90.00
_cell_angle_gamma 120.00
_symmetry_space_group_name_H-M 'R -3 m'
_symmetry_Int_Tables_number 166
_symmetry_space_group_name_Hall '-R 3 2"'
loop_
_atom_site_label
_atom_site_type_symbol
_atom_site_fract_x
_atom_site_fract_y
_atom_site_fract_z
_atom_site_occupancy
Ba1 Ba 0.0000 0.0000 0.0995 1
Na1 Na 0.0000 0.0000 0.5000 1
In1 In 0.0107 0.5053 0.8701 1
In2 In 0.1021 0.5511 0.3258 1
Ir1 Ir 0.0000 0.5000 0.0000 1

=====

No. 20
# Ba2InIr3O12 GGA-PBE optimized geometry
# Total magnetization   2.29 μB per formula unit
# Electronic total energy   -6.39 eV per atom
# Formation energy without anion corrections   -1.24 eV per atom
# DOS at the Fermi energy   42.326 states/eV per cell
data_Ba2InIr3O12
_cell_length_a 7.2429
_cell_length_b 7.2429
_cell_length_c 17.2323
_cell_angle_alpha 90.00
_cell_angle_beta 90.00
_cell_angle_gamma 120.00
_symmetry_space_group_name_H-M 'R -3 m'
_symmetry_Int_Tables_number 166
_symmetry_space_group_name_Hall '-R 3 2"'
loop_
_atom_site_label
_atom_site_type_symbol
_atom_site_fract_x
_atom_site_fract_y
_atom_site_fract_z
_atom_site_occupancy
Ba1 Ba 0.0000 0.0000 0.1133 1
In1 In 0.0000 0.0000 0.5000 1
Ir1 Ir 0.0000 0.5000 0.0000 1
O1 O 0.0149 0.5075 0.1113 1
O2 O 0.0494 0.5247 0.3378 1